{"formula": "ThH3Ir", "functional": "PBE-GGA", "state": "optimized geometry", "n_ef_per_ev_atom": 0.437, "total_energy_ev_per_cell": -28.3, "m_tot_mub_per_atom": 0.0000, "cell": [[3.770, 0.000, 0.000], [0.000, 3.770, 0.000], [0.000, 0.000, 3.770]], "species": ["Th", "H", "H", "H", "Ir"], "frac_coords": [[0.000, 0.000, 0.000], [0.000, 0.500, 0.500], [0.500, 0.000, 0.500], [0.500, 0.500, 0.000], [0.500, 0.500, 0.500]]}

{"formula": "Th2HIr", "functional": "PBE-GGA", "state": "optimized geometry", "n_ef_per_ev_atom": 0.760, "m_tot_mub_per_atom": 0.0000, "e_above_lowest_polymorph_ev_per_atom": 0.057, "cell": [[2.111, 1.219, 7.416], [-2.111, 1.219, 7.416], [0.000, -2.437, 7.416]], "species": ["Th", "Th", "H", "Ir"], "frac_coords": [[0.099, 0.099, 0.099], [0.901, 0.901, 0.901], [0.000, 0.000, 0.000], [0.500, 0.500, 0.500]]}

{"formula": "Th2HIr", "functional": "PBE-GGA", "state": "optimized geometry", "n_ef_per_ev_atom": 0.569, "m_tot_mub_per_atom": 0.0000, "e_above_lowest_polymorph_ev_per_atom": 0.000, "cell": [[1.997, 1.153, 6.731], [-1.997, 1.153, 6.731], [0.000, -2.306, 6.731]], "species": ["Th", "Th", "H", "Ir"], "frac_coords": [[0.000, 0.000, 0.000], [0.170, 0.170, 0.170], [0.407, 0.407, 0.407], [0.583, 0.583, 0.583]]}

{"formula": "ThZnH8Ir2", "functional": "PBE-GGA", "state": "optimized geometry", "n_ef_per_ev_atom": 0.213, "total_energy_ev_per_cell": -55.2, "m_tot_mub_per_atom": 0.0000, "cell": [[4.074, -2.170, 0.000], [4.074, 2.170, 0.000], [-2.392, 0.000, 5.888]], "species": ["Th", "Zn", "H", "H", "H", "H", "H", "H", "H", "H", "Ir", "Ir"], "frac_coords": [[0.000, 0.000, 0.000], [0.500, 0.500, 0.500], [0.084, 0.565, 0.183], [0.200, 0.200, 0.371], [0.425, 0.425, 0.817], [0.435, 0.916, 0.817], [0.565, 0.084, 0.183], [0.575, 0.575, 0.183], [0.800, 0.800, 0.629], [0.916, 0.435, 0.817], [0.203, 0.203, 0.636], [0.797, 0.797, 0.364]]}

{"formula": "Ti2HIr", "functional": "PBE-GGA", "state": "optimized geometry", "n_ef_per_ev_atom": 0.601, "m_tot_mub_per_atom": 0.0000, "e_above_lowest_polymorph_ev_per_atom": 0.124, "cell": [[2.853, 0.000, 0.000], [0.000, 2.853, 0.000], [0.000, 0.000, 6.141]], "species": ["Ti", "Ti", "H", "Ir"], "frac_coords": [[0.000, 0.000, 0.213], [0.000, 0.000, 0.787], [0.500, 0.500, 0.000], [0.500, 0.500, 0.500]]}

{"formula": "Ti4HIr", "functional": "PBE-GGA", "state": "optimized geometry", "n_ef_per_ev_atom": 1.050, "total_energy_ev_per_cell": -91.0, "m_tot_mub_per_atom": 0.0000, "cell": [[5.256, 0.000, 0.000], [0.000, 4.967, 0.000], [-2.152, 0.000, 6.550]], "species": ["Ti", "Ti", "Ti", "Ti", "Ti", "Ti", "Ti", "Ti", "H", "H", "Ir", "Ir"], "frac_coords": [[0.071, 0.137, 0.197], [0.071, 0.363, 0.697], [0.349, 0.580, 0.128], [0.349, 0.920, 0.628], [0.651, 0.080, 0.372], [0.651, 0.420, 0.872], [0.929, 0.637, 0.303], [0.929, 0.863, 0.803], [0.000, 0.000, 0.500], [0.000, 0.500, 0.000], [0.500, 0.000, 0.000], [0.500, 0.500, 0.500]]}

{"formula": "Ti3HIr2", "functional": "PBE-GGA", "state": "optimized geometry", "n_ef_per_ev_atom": 0.546, "total_energy_ev_per_cell": -97.4, "m_tot_mub_per_atom": 0.0001, "cell": [[6.481, -2.200, 0.000], [6.481, 2.200, 0.000], [0.000, 0.000, 5.881]], "species": ["Ti", "Ti", "Ti", "Ti", "Ti", "Ti", "H", "H", "Ir", "Ir", "Ir", "Ir"], "frac_coords": [[0.001, 0.999, 0.750], [0.348, 0.348, 0.250], [0.348, 0.348, 0.750], [0.652, 0.652, 0.250], [0.652, 0.652, 0.750], [0.999, 0.001, 0.250], [0.497, 0.503, 0.750], [0.503, 0.497, 0.250], [0.172, 0.172, 0.000], [0.172, 0.172, 0.500], [0.828, 0.828, 0.000], [0.828, 0.828, 0.500]]}

{"formula": "TiH2Ir", "functional": "PBE-GGA", "state": "optimized geometry", "n_ef_per_ev_atom": 0.663, "m_tot_mub_per_atom": 0.0000, "e_above_lowest_polymorph_ev_per_atom": 0.025, "cell": [[-2.070, 2.070, 4.324], [2.070, -2.070, 4.324], [2.070, 2.070, -4.324]], "species": ["Ti", "Ti", "H", "H", "H", "H", "Ir", "Ir"], "frac_coords": [[0.000, 0.000, 0.000], [0.750, 0.250, 0.500], [0.144, 0.625, 0.019], [0.375, 0.394, 0.519], [0.606, 0.125, 0.981], [0.875, 0.856, 0.481], [0.250, 0.750, 0.500], [0.500, 0.500, 0.000]]}

{"formula": "TiH2Ir", "functional": "PBE-GGA", "state": "optimized geometry", "n_ef_per_ev_atom": 1.122, "m_tot_mub_per_atom": 0.0000, "e_above_lowest_polymorph_ev_per_atom": 0.436, "cell": [[0.000, 2.648, 2.648], [2.648, 0.000, 2.648], [2.648, 2.648, 0.000]], "species": ["Ti", "H", "H", "Ir"], "frac_coords": [[0.000, 0.000, 0.000], [0.250, 0.250, 0.250], [0.750, 0.750, 0.750], [0.500, 0.500, 0.500]]}

{"formula": "Ti2H2Ir", "functional": "PBE-GGA", "state": "optimized geometry", "n_ef_per_ev_atom": 1.133, "m_tot_mub_per_atom": 0.0000, "e_above_lowest_polymorph_ev_per_atom": 0.435, "cell": [[6.087, 0.000, 0.000], [0.000, 6.087, 0.000], [0.000, 0.000, 2.819]], "species": ["Ti", "Ti", "Ti", "Ti", "H", "H", "H", "H", "Ir", "Ir"], "frac_coords": [[0.160, 0.340, 0.000], [0.340, 0.840, 0.000], [0.660, 0.160, 0.000], [0.840, 0.660, 0.000], [0.113, 0.613, 0.500], [0.387, 0.113, 0.500], [0.613, 0.887, 0.500], [0.887, 0.387, 0.500], [0.000, 0.000, 0.500], [0.500, 0.500, 0.500]]}

{"formula": "Ti2HIr", "functional": "PBE-GGA", "state": "optimized geometry", "n_ef_per_ev_atom": 0.455, "m_tot_mub_per_atom": 0.0000, "e_above_lowest_polymorph_ev_per_atom": 0.000, "cell": [[-2.888, 2.888, 3.117], [2.888, -2.888, 3.117], [2.888, 2.888, -3.117]], "species": ["Ti", "Ti", "Ti", "Ti", "H", "H", "Ir", "Ir"], "frac_coords": [[0.043, 0.625, 0.918], [0.375, 0.293, 0.418], [0.707, 0.125, 0.082], [0.875, 0.957, 0.582], [0.000, 0.000, 0.000], [0.750, 0.250, 0.500], [0.250, 0.750, 0.500], [0.500, 0.500, 0.000]]}

{"formula": "TiH2Ir", "functional": "PBE-GGA", "state": "optimized geometry", "n_ef_per_ev_atom": 0.726, "m_tot_mub_per_atom": 0.0000, "e_above_lowest_polymorph_ev_per_atom": 0.000, "cell": [[1.469, 0.848, 4.833], [-1.469, 0.848, 4.833], [0.000, -1.696, 4.833]], "species": ["Ti", "H", "H", "Ir"], "frac_coords": [[0.000, 0.000, 0.000], [0.381, 0.381, 0.381], [0.619, 0.619, 0.619], [0.500, 0.500, 0.500]]}

{"formula": "Ti2H2Ir", "functional": "PBE-GGA", "state": "optimized geometry", "n_ef_per_ev_atom": 0.620, "m_tot_mub_per_atom": 0.0586, "e_above_lowest_polymorph_ev_per_atom": 0.144, "cell": [[2.921, 0.000, 0.000], [0.000, 2.921, 0.000], [0.000, 0.000, 6.221]], "species": ["Ti", "Ti", "H", "H", "Ir"], "frac_coords": [[0.000, 0.000, 0.224], [0.000, 0.000, 0.776], [0.000, 0.500, 0.000], [0.500, 0.000, 0.000], [0.500, 0.500, 0.500]]}

{"formula": "Ti2H2Ir", "functional": "PBE-GGA", "state": "optimized geometry", "n_ef_per_ev_atom": 0.722, "m_tot_mub_per_atom": 0.0000, "e_above_lowest_polymorph_ev_per_atom": 0.198, "cell": [[0.000, 4.156, 4.536], [2.741, 0.000, 4.536], [2.741, 4.156, 0.000]], "species": ["Ti", "Ti", "Ti", "Ti", "H", "H", "H", "H", "Ir", "Ir"], "frac_coords": [[0.058, 0.692, 0.058], [0.308, 0.942, 0.308], [0.692, 0.058, 0.692], [0.942, 0.308, 0.942], [0.005, 0.005, 0.245], [0.245, 0.245, 0.005], [0.755, 0.755, 0.995], [0.995, 0.995, 0.755], [0.375, 0.375, 0.375], [0.625, 0.625, 0.625]]}

{"formula": "Ti2HIr", "functional": "PBE-GGA", "state": "optimized geometry", "n_ef_per_ev_atom": 0.404, "m_tot_mub_per_atom": 0.0000, "e_above_lowest_polymorph_ev_per_atom": 0.246, "cell": [[0.000, 3.012, 3.012], [3.012, 0.000, 3.012], [3.012, 3.012, 0.000]], "species": ["Ti", "Ti", "H", "Ir"], "frac_coords": [[0.250, 0.250, 0.250], [0.750, 0.750, 0.750], [0.000, 0.000, 0.000], [0.500, 0.500, 0.500]]}

{"formula": "TiHIr", "functional": "PBE-GGA", "state": "optimized geometry", "n_ef_per_ev_atom": 0.552, "m_tot_mub_per_atom": 0.0000, "e_above_lowest_polymorph_ev_per_atom": 0.077, "cell": [[5.076, 0.000, 0.000], [0.000, 10.232, 0.000], [0.000, 0.000, 10.483]], "species": ["Ti", "Ti", "Ti", "Ti", "Ti", "Ti", "Ti", "Ti", "Ti", "Ti", "Ti", "Ti", "Ti", "Ti", "Ti", "Ti", "H", "H", "H", "H", "H", "H", "H", "H", "H", "H", "H", "H", "H", "H", "H", "H", "Ir", "Ir", "Ir", "Ir", "Ir", "Ir", "Ir", "Ir", "Ir", "Ir", "Ir", "Ir", "Ir", "Ir", "Ir", "Ir"], "frac_coords": [[0.127, 0.031, 0.132], [0.127, 0.469, 0.632], [0.138, 0.212, 0.433], [0.138, 0.288, 0.933], [0.362, 0.712, 0.433], [0.362, 0.788, 0.933], [0.373, 0.531, 0.132], [0.373, 0.969, 0.632], [0.627, 0.031, 0.368], [0.627, 0.469, 0.868], [0.638, 0.212, 0.067], [0.638, 0.288, 0.567], [0.862, 0.712, 0.067], [0.862, 0.788, 0.567], [0.873, 0.531, 0.368], [0.873, 0.969, 0.868], [0.125, 0.653, 0.569], [0.125, 0.847, 0.069], [0.248, 0.088, 0.305], [0.248, 0.412, 0.805], [0.252, 0.588, 0.305], [0.252, 0.912, 0.805], [0.375, 0.153, 0.569], [0.375, 0.347, 0.069], [0.625, 0.653, 0.931], [0.625, 0.847, 0.431], [0.748, 0.088, 0.195], [0.748, 0.412, 0.695], [0.752, 0.588, 0.195], [0.752, 0.912, 0.695], [0.875, 0.153, 0.931], [0.875, 0.347, 0.431], [0.150, 0.548, 0.902], [0.150, 0.952, 0.402], [0.180, 0.220, 0.697], [0.180, 0.280, 0.197], [0.320, 0.720, 0.697], [0.320, 0.780, 0.197], [0.350, 0.048, 0.902], [0.350, 0.452, 0.402], [0.650, 0.548, 0.598], [0.650, 0.952, 0.098], [0.680, 0.220, 0.803], [0.680, 0.280, 0.303], [0.820, 0.720, 0.803], [0.820, 0.780, 0.303], [0.850, 0.048, 0.598], [0.850, 0.452, 0.098]]}

{"formula": "TiHIr", "functional": "PBE-GGA", "state": "optimized geometry", "n_ef_per_ev_atom": 0.404, "m_tot_mub_per_atom": 0.0000, "e_above_lowest_polymorph_ev_per_atom": 0.000, "cell": [[2.966, 0.000, 0.000], [0.000, 2.966, 0.000], [0.000, 0.000, 7.603]], "species": ["Ti", "Ti", "H", "H", "Ir", "Ir"], "frac_coords": [[0.250, 0.250, 0.166], [0.750, 0.750, 0.834], [0.250, 0.750, 0.000], [0.750, 0.250, 0.000], [0.250, 0.250, 0.636], [0.750, 0.750, 0.364]]}

{"formula": "Ti2H2Ir", "functional": "PBE-GGA", "state": "optimized geometry", "n_ef_per_ev_atom": 0.467, "m_tot_mub_per_atom": 0.0000, "e_above_lowest_polymorph_ev_per_atom": 0.000, "cell": [[-1.470, 1.470, 5.937], [1.470, -1.470, 5.937], [1.470, 1.470, -5.937]], "species": ["Ti", "Ti", "H", "H", "Ir"], "frac_coords": [[0.144, 0.144, 0.000], [0.856, 0.856, 0.000], [0.250, 0.750, 0.500], [0.750, 0.250, 0.500], [0.500, 0.500, 0.000]]}

{"formula": "Ti2HIr", "functional": "PBE-GGA", "state": "optimized geometry", "n_ef_per_ev_atom": 1.258, "m_tot_mub_per_atom": 0.0012, "e_above_lowest_polymorph_ev_per_atom": 0.012, "cell": [[1.437, 0.830, 6.772], [-1.437, 0.830, 6.772], [0.000, -1.660, 6.772]], "species": ["Ti", "Ti", "H", "Ir"], "frac_coords": [[0.227, 0.227, 0.227], [0.773, 0.773, 0.773], [0.500, 0.500, 0.500], [0.000, 0.000, 0.000]]}

{"formula": "TiV2HIr", "functional": "PBE-GGA", "state": "optimized geometry", "n_ef_per_ev_atom": 0.803, "total_energy_ev_per_cell": -40.0, "m_tot_mub_per_atom": 0.0000, "cell": [[3.726, 0.000, 0.000], [0.000, 3.726, 0.000], [0.000, 0.000, 4.293]], "species": ["Ti", "V", "V", "H", "Ir"], "frac_coords": [[0.000, 0.000, 0.000], [0.000, 0.500, 0.500], [0.500, 0.000, 0.500], [0.000, 0.000, 0.500], [0.500, 0.500, 0.000]]}